DFT (GGA+U) results for crystalline Li2FeO2F at its relaxed geometry.

Values from the calculation:
total energy	-5.4299	eV per atom
offset from the most stable computed form	0.251	eV per atom
ρ	3.60	g/cm3
volume	9.285	Å³ per atom
total magnetic moment	2.99	μB per formula unit

a b c (Å): 5.1819 5.1819 5.0745
angles (deg): 97.96 97.96 121.50
Fractional positions:
Li: 0.0000 0.0000 0.0000
Li: 0.1819 0.8181 0.5000
Li: 0.5000 0.5000 0.5000
Li: 0.8181 0.1819 0.5000
Fe: 0.3163 0.6837 0.0000
Fe: 0.6837 0.3163 0.0000
O: 0.0881 0.4345 0.2324
O: 0.4345 0.0881 0.2324
O: 0.5655 0.9119 0.7676
O: 0.9119 0.5655 0.7676
F: 0.2625 0.2625 0.7582
F: 0.7375 0.7375 0.2418